A PBEsol-optimized structure of KOsPt2, computed with meta-GGA SCAN.

Summary:
Total moment   1.90 μB/f.u.
D(E_F)   1.5967 states/eV per atom
Offset from the most stable computed form   0.815 eV per atom
Symmetry   F-43m
Calculated formation energy   1.232 eV per atom

Structure (POSCAR):
```
KOsPt2
1.0
-1.8541 -1.5952 -3.8464
2.1818 -3.1757 -2.4356
-1.6137 -4.2601 -0.1562
Pt K Os
2 1 1
Direct
0.0000 0.0000 0.0000 Pt
0.7500 0.7500 0.7500 Pt
0.5000 0.5000 0.5000 K
0.2500 0.2500 0.2500 Os
```

---

A PBEsol-optimized structure of EuSeO3, computed with meta-GGA SCAN.

Summary:
Total moment   6.98 μB/f.u.
D(E_F)   1.0824 states/eV per atom
ΔE_f (raw)   -2.03 eV per atom
Symmetry   P2_1/m

Structure (POSCAR):
```
EuSeO3
1.0
4.3377 0.0000 0.0235
0.0000 5.3453 0.0000
-1.8448 0.0000 6.0917
Se Eu O
2 2 6
Direct
0.0659 0.2500 0.1437 Se
0.9341 0.7500 0.8563 Se
0.6635 0.7500 0.3047 Eu
0.3365 0.2500 0.6953 Eu
0.8163 0.5078 0.6651 O
0.8163 0.9922 0.6651 O
0.1837 0.4922 0.3349 O
0.6547 0.2500 0.1072 O
0.1837 0.0078 0.3349 O
0.3453 0.7500 0.8928 O
```

---

A PBEsol-optimized structure of Co2ReNiTe, computed with meta-GGA SCAN.

Summary:
Total moment   5.27 μB/f.u.
D(E_F)   0.9039 states/eV per atom
ΔE_f (raw)   1.54 eV per atom
Symmetry   P4/mmm

Structure (POSCAR):
```
Co2ReNiTe
1.0
-0.7443 -3.7752 1.6059
4.0910 -0.8053 0.0030
0.3339 1.7116 4.1786
Co Te Ni Re
2 1 1 1
Direct
0.5000 0.0000 0.0000 Co
0.0000 0.5000 0.0000 Co
0.0000 0.0000 0.5000 Te
0.0000 0.0000 0.0000 Ni
0.5000 0.5000 0.5000 Re
```

---

A PBEsol-optimized structure of SiTePb, computed with meta-GGA SCAN.

Summary:
Total moment   0.00 μB/f.u.
D(E_F)   0.4585 states/eV per atom
ΔE_f (raw)   0.27 eV per atom
Offset from the most stable computed form   0.000 eV per atom
Symmetry   P3m1

Structure (POSCAR):
```
SiTePb
1.0
-1.5103 -2.5578 2.1574
2.4096 -0.9748 -2.5925
5.0633 0.7437 4.4264
Si Te Pb
1 1 1
Direct
0.6667 0.3333 0.6378 Si
0.3333 0.6667 0.3990 Te
0.0000 0.0000 0.9633 Pb
```

---

A PBEsol-optimized structure of ZnCr2Ni, computed with meta-GGA SCAN.

Summary:
Total moment   0.00 μB/f.u.
D(E_F)   0.6487 states/eV per atom
Symmetry   Cmm2
Calculated formation energy   0.057 eV per atom

Structure (POSCAR):
```
ZnCr2Ni
1.0
2.4454 -0.0019 0.0000
-0.6910 2.3457 0.0000
0.0000 0.0000 7.9367
Cr Zn Ni
2 1 1
Direct
0.0000 0.0000 0.9888 Cr
0.5000 0.5000 0.7445 Cr
0.5000 0.5000 0.2578 Zn
0.0000 0.0000 0.5089 Ni
```

---

A PBEsol-optimized structure of NiSn3Hg, computed with meta-GGA SCAN.

Summary:
Total moment   0.00 μB/f.u.
D(E_F)   0.4931 states/eV per atom
Symmetry   Pm-3m
Calculated formation energy   0.134 eV per atom

Structure (POSCAR):
```
NiSn3Hg
1.0
4.9367 0.0000 0.0000
0.0000 4.9367 0.0000
0.0000 0.0000 4.9367
Hg Sn Ni
1 3 1
Direct
0.5000 0.5000 0.5000 Hg
0.0000 0.0000 0.5000 Sn
0.5000 0.0000 0.0000 Sn
0.0000 0.5000 0.0000 Sn
0.0000 0.0000 0.0000 Ni
```

---

A PBEsol-optimized structure of Ni2MoRh, computed with meta-GGA SCAN.

Summary:
Total moment   0.00 μB/f.u.
D(E_F)   0.7510 states/eV per atom
Offset from the most stable computed form   0.000 eV per atom
Symmetry   I-4m2
Calculated formation energy   -0.108 eV per atom

Structure (POSCAR):
```
Ni2MoRh
1.0
3.6361 0.0000 0.0000
0.0000 3.6361 0.0000
-1.8181 -1.8181 3.7201
Ni Rh Mo
2 1 1
Direct
0.0000 0.0000 0.0000 Ni
0.2500 0.7500 0.5000 Ni
0.5000 0.5000 0.0000 Rh
0.7500 0.2500 0.5000 Mo
```

---

A PBEsol-optimized structure of ScFeTc2, computed with meta-GGA SCAN.

Summary:
Total moment   2.61 μB/f.u.
D(E_F)   0.8810 states/eV per atom
Offset from the most stable computed form   0.091 eV per atom
Symmetry   P4/mmm
Calculated formation energy   0.098 eV per atom

Structure (POSCAR):
```
ScFeTc2
1.0
3.6348 0.0000 0.0000
0.0000 3.6348 0.0000
0.0000 0.0000 4.3741
Sc Fe Tc
1 1 2
Direct
0.0000 0.0000 0.5000 Sc
0.5000 0.5000 0.5000 Fe
0.0000 0.5000 0.0000 Tc
0.5000 0.0000 0.0000 Tc
```

---

A PBEsol-optimized structure of YBe4Ir, computed with meta-GGA SCAN.

Summary:
Total moment   0.00 μB/f.u.
Symmetry   F-43m
Calculated formation energy   -0.445 eV per atom

Structure (POSCAR):
```
YBe4Ir
1.0
-2.7012 3.3354 1.7387
-2.3035 -0.7118 3.9536
1.2686 2.2334 3.8531
Be Y Ir
4 1 1
Direct
0.3779 0.3779 0.8662 Be
0.3779 0.8662 0.3779 Be
0.3779 0.3779 0.3779 Be
0.8662 0.3779 0.3779 Be
0.0000 0.0000 0.0000 Y
0.7500 0.7500 0.7500 Ir
```

---

A PBEsol-optimized structure of YBe2Zn, computed with meta-GGA SCAN.

Summary:
Total moment   0.00 μB/f.u.
D(E_F)   0.2517 states/eV per atom
Symmetry   Imm2
Calculated formation energy   0.037 eV per atom

Structure (POSCAR):
```
YBe2Zn
1.0
4.3646 0.0000 0.0000
2.1823 3.7979 0.0562
2.1823 1.1955 3.6052
Be Y Zn
2 1 1
Direct
0.7468 0.7532 0.7532 Be
0.0015 0.9985 0.9985 Be
0.4996 0.5004 0.5004 Y
0.2521 0.2479 0.2479 Zn
```

---

A PBEsol-optimized structure of SrFe2Ru, computed with meta-GGA SCAN.

Summary:
Total moment   5.94 μB/f.u.
D(E_F)   1.0880 states/eV per atom
Symmetry   P4/mmm
Calculated formation energy   0.484 eV per atom

Structure (POSCAR):
```
SrFe2Ru
1.0
-0.2036 -2.9565 1.0947
1.4776 0.8796 2.6502
-6.1121 1.4985 2.9105
Fe Sr Ru
2 1 1
Direct
0.0000 0.0000 0.1636 Fe
0.0000 0.0000 0.8364 Fe
0.5000 0.5000 0.5000 Sr
0.5000 0.5000 0.0000 Ru
```

---

A PBEsol-optimized structure of YTa2Mn, computed with meta-GGA SCAN.

Summary:
Total moment   3.44 μB/f.u.
D(E_F)   0.9487 states/eV per atom
Offset from the most stable computed form   0.000 eV per atom
Symmetry   I4/mmm
Calculated formation energy   0.344 eV per atom

Structure (POSCAR):
```
YTa2Mn
1.0
3.9642 0.0000 0.0000
0.0000 3.9642 0.0000
-1.9821 -1.9821 4.7380
Ta Y Mn
2 1 1
Direct
0.2500 0.7500 0.5000 Ta
0.7500 0.2500 0.5000 Ta
0.5000 0.5000 0.0000 Y
0.0000 0.0000 0.0000 Mn
```